*a*
Here is crystalline SmLu2Al at its relaxed geometry from Alexandria via LeMat-Bulk. Energies are from PBE.

abc: 4.726 4.726 4.735
angles: 90.00 90.00 90.00
Sites, in units of the cell vectors:
Sm 0.000 0.000 0.000
Lu 0.000 0.500 0.500
Lu 0.500 0.000 0.500
Al 0.500 0.500 0.000

Results
Calculated volume in Å³/atom: 26.435
Magnetization in μB per formula unit: 0.0
Space-group type: No. 123
DOS(E_F) in states/eV/cell: 4.5


*b*
Here is crystalline SmLu2Al at its relaxed geometry from Alexandria via LeMat-Bulk. Energies are from PBE.

abc: 11.567 11.567 11.567
angles: 16.90 16.90 16.90
Sites, in units of the cell vectors:
Sm 0.000 0.000 0.000
Lu 0.100 0.100 0.100
Lu 0.900 0.900 0.900
Al 0.500 0.500 0.500

Results
Calculated volume in Å³/atom: 28.513
Magnetization in μB per formula unit: 0.0
Space-group type: No. 166
DOS(E_F) in states/eV/cell: 5.9


*c*
Here is crystalline SmLu2Al at its relaxed geometry from Alexandria via LeMat-Bulk. Energies are from PBE.

abc: 5.308 5.308 5.308
angles: 60.00 60.00 60.00
Sites, in units of the cell vectors:
Sm 0.000 0.000 0.000
Lu 0.250 0.250 0.250
Lu 0.750 0.750 0.750
Al 0.500 0.500 0.500

Results
Calculated volume in Å³/atom: 26.432
Magnetization in μB per formula unit: 1.0
Space-group type: No. 225
DOS(E_F) in states/eV/cell: 6.3


*d*
Here is crystalline SmLu2Al at its relaxed geometry from Alexandria via LeMat-Bulk. Energies are from PBE.

abc: 3.488 3.488 8.851
angles: 90.00 90.00 90.00
Sites, in units of the cell vectors:
Sm 0.000 0.000 0.000
Lu 0.500 0.500 0.290
Lu 0.500 0.500 0.710
Al 0.000 0.000 0.500

Results
Calculated volume in Å³/atom: 26.917
Magnetization in μB per formula unit: 0.0
Space-group type: No. 123
DOS(E_F) in states/eV/cell: 3.1


Ranked by calculated energy, most stable first: *d*, *a*, *c*, *b*.


*a*
Here is crystalline SmLuAl2 at its relaxed geometry from Alexandria via LeMat-Bulk. Energies are from PBE.

abc: 3.608 3.608 7.162
angles: 90.00 90.00 90.00
Sites, in units of the cell vectors:
Sm 0.000 0.000 0.000
Lu 0.000 0.000 0.500
Al 0.500 0.500 0.268
Al 0.500 0.500 0.732

Results
Calculated volume in Å³/atom: 23.307
Magnetization in μB per formula unit: 0.0
Space-group type: No. 123
DOS(E_F) in states/eV/cell: 1.7


*b*
Here is crystalline SmLuAl2 at its relaxed geometry from Alexandria via LeMat-Bulk. Energies are from PBE.

abc: 5.102 5.102 5.102
angles: 60.00 60.00 60.00
Sites, in units of the cell vectors:
Sm 0.000 0.000 0.000
Lu 0.500 0.500 0.500
Al 0.250 0.250 0.250
Al 0.750 0.750 0.750

Results
Calculated volume in Å³/atom: 23.481
Magnetization in μB per formula unit: 0.0
Space-group type: No. 225
DOS(E_F) in states/eV/cell: 1.9


Ranked by calculated energy, most stable first: *a*, *b*.


*a*
Here is crystalline SrLuAl2 at its relaxed geometry from Alexandria via LeMat-Bulk. Energies are from PBE.

abc: 3.712 3.712 7.502
angles: 90.00 90.00 90.00
Sites, in units of the cell vectors:
Sr 0.000 0.000 0.000
Lu 0.000 0.000 0.500
Al 0.500 0.500 0.292
Al 0.500 0.500 0.708

Results
Calculated volume in Å³/atom: 25.835
Magnetization in μB per formula unit: 0.0
Space-group type: No. 123
DOS(E_F) in states/eV/cell: 1.9


*b*
Here is crystalline SrLuAl2 at its relaxed geometry from Alexandria via LeMat-Bulk. Energies are from PBE.

abc: 5.266 5.266 5.266
angles: 60.00 60.00 60.00
Sites, in units of the cell vectors:
Sr 0.000 0.000 0.000
Lu 0.500 0.500 0.500
Al 0.250 0.250 0.250
Al 0.750 0.750 0.750

Results
Calculated volume in Å³/atom: 25.815
Magnetization in μB per formula unit: 0.0
Space-group type: No. 225
DOS(E_F) in states/eV/cell: 2.7


Ranked by calculated energy, most stable first: *a*, *b*.


*a*
Here is crystalline TbLu2Al at its relaxed geometry from Alexandria via LeMat-Bulk. Energies are from PBE.

abc: 4.692 4.692 4.716
angles: 90.00 90.00 90.00
Sites, in units of the cell vectors:
Tb 0.000 0.000 0.000
Lu 0.000 0.500 0.500
Lu 0.500 0.000 0.500
Al 0.500 0.500 0.000

Results
Calculated volume in Å³/atom: 25.953
Magnetization in μB per formula unit: 0.0
Space-group type: No. 123
DOS(E_F) in states/eV/cell: 4.2


*b*
Here is crystalline TbLu2Al at its relaxed geometry from Alexandria via LeMat-Bulk. Energies are from PBE.

abc: 3.473 3.473 8.804
angles: 90.00 90.00 90.00
Sites, in units of the cell vectors:
Tb 0.000 0.000 0.000
Lu 0.500 0.500 0.287
Lu 0.500 0.500 0.713
Al 0.000 0.000 0.500

Results
Calculated volume in Å³/atom: 26.546
Magnetization in μB per formula unit: 0.0
Space-group type: No. 123
DOS(E_F) in states/eV/cell: 3.6


Ranked by calculated energy, most stable first: *b*, *a*.


*a*
Here is crystalline TbLu2Al at its relaxed geometry from Alexandria via LeMat-Bulk. Energies are from PBE.

abc: 11.555 11.555 11.555
angles: 16.84 16.84 16.84
Sites, in units of the cell vectors:
Tb 0.000 0.000 0.000
Lu 0.100 0.100 0.100
Lu 0.900 0.900 0.900
Al 0.500 0.500 0.500

Results
Calculated volume in Å³/atom: 28.228
Magnetization in μB per formula unit: 0.2
Space-group type: No. 166
DOS(E_F) in states/eV/cell: 6.0


*b*
Here is crystalline TbLu2Al at its relaxed geometry from Alexandria via LeMat-Bulk. Energies are from PBE.

abc: 5.280 5.280 5.280
angles: 60.00 60.00 60.00
Sites, in units of the cell vectors:
Tb 0.000 0.000 0.000
Lu 0.250 0.250 0.250
Lu 0.750 0.750 0.750
Al 0.500 0.500 0.500

Results
Calculated volume in Å³/atom: 26.020
Magnetization in μB per formula unit: 0.5
Space-group type: No. 225
DOS(E_F) in states/eV/cell: 6.1


Ranked by calculated energy, most stable first: *b*, *a*.


*a*
Here is crystalline TbLuAl at its relaxed geometry from Alexandria via LeMat-Bulk. Energies are from PBE.

abc: 7.052 7.052 7.052
angles: 151.94 151.94 40.11
Sites, in units of the cell vectors:
Tb 0.000 0.000 0.000
Lu 0.299 0.299 0.000
Al 0.653 0.653 0.000

Results
Calculated volume in Å³/atom: 25.822
Magnetization in μB per formula unit: 0.0
Space-group type: No. 107
DOS(E_F) in states/eV/cell: 2.2


*b*
Here is crystalline TbLuAl at its relaxed geometry from Alexandria via LeMat-Bulk. Energies are from PBE.

abc: 5.027 5.027 3.533
angles: 90.00 90.00 120.00
Sites, in units of the cell vectors:
Tb 0.000 0.000 0.000
Lu 0.667 0.333 0.444
Al 0.333 0.667 0.674

Results
Calculated volume in Å³/atom: 25.773
Magnetization in μB per formula unit: 0.0
Space-group type: No. 156
DOS(E_F) in states/eV/cell: 2.0


Ranked by calculated energy, most stable first: *a*, *b*.


*a*
Here is crystalline LuAl2Tc at its relaxed geometry from Alexandria via LeMat-Bulk. Energies are from PBE.

abc: 3.270 3.270 6.636
angles: 90.00 90.00 90.00
Sites, in units of the cell vectors:
Lu 0.000 0.000 0.000
Al 0.500 0.500 0.306
Al 0.500 0.500 0.694
Tc 0.000 0.000 0.500

Results
Calculated volume in Å³/atom: 17.741
Magnetization in μB per formula unit: 0.0
Space-group type: No. 123
DOS(E_F) in states/eV/cell: 3.4


*b*
Here is crystalline LuAl2Tc at its relaxed geometry from Alexandria via LeMat-Bulk. Energies are from PBE.

abc: 9.210 9.210 9.210
angles: 19.27 19.27 19.27
Sites, in units of the cell vectors:
Lu 0.000 0.000 0.000
Al 0.237 0.237 0.237
Al 0.763 0.763 0.763
Tc 0.500 0.500 0.500

Results
Calculated volume in Å³/atom: 18.595
Magnetization in μB per formula unit: 0.0
Space-group type: No. 166
DOS(E_F) in states/eV/cell: 3.2


*c*
Here is crystalline LuAl2Tc at its relaxed geometry from Alexandria via LeMat-Bulk. Energies are from PBE.

abc: 4.594 4.594 4.594
angles: 60.00 60.00 60.00
Sites, in units of the cell vectors:
Lu 0.000 0.000 0.000
Al 0.250 0.250 0.250
Al 0.750 0.750 0.750
Tc 0.500 0.500 0.500

Results
Calculated volume in Å³/atom: 17.141
Magnetization in μB per formula unit: 0.0
Space-group type: No. 225
DOS(E_F) in states/eV/cell: 4.2


Ranked by calculated energy, most stable first: *a*, *c*, *b*.


*a*
Here is crystalline Lu2AlTc at its relaxed geometry from Alexandria via LeMat-Bulk. Energies are from PBE.

abc: 3.477 3.477 6.877
angles: 90.00 90.00 90.00
Sites, in units of the cell vectors:
Lu 0.000 0.000 0.228
Lu 0.000 0.000 0.772
Al 0.500 0.500 0.500
Tc 0.500 0.500 0.000

Results
Calculated volume in Å³/atom: 20.779
Magnetization in μB per formula unit: 0.0
Space-group type: No. 123
DOS(E_F) in states/eV/cell: 4.5


*b*
Here is crystalline Lu2AlTc at its relaxed geometry from Alexandria via LeMat-Bulk. Energies are from PBE.

abc: 10.373 10.373 10.373
angles: 18.28 18.28 18.28
Sites, in units of the cell vectors:
Lu 0.101 0.101 0.101
Lu 0.899 0.899 0.899
Al 0.000 0.000 0.000
Tc 0.500 0.500 0.500

Results
Calculated volume in Å³/atom: 23.976
Magnetization in μB per formula unit: 0.0
Space-group type: No. 166
DOS(E_F) in states/eV/cell: 3.3


*c*
Here is crystalline Lu2AlTc at its relaxed geometry from Alexandria via LeMat-Bulk. Energies are from PBE.

abc: 4.869 4.869 4.869
angles: 60.00 60.00 60.00
Sites, in units of the cell vectors:
Lu 0.250 0.250 0.250
Lu 0.750 0.750 0.750
Al 0.000 0.000 0.000
Tc 0.500 0.500 0.500

Results
Calculated volume in Å³/atom: 20.399
Magnetization in μB per formula unit: 0.0
Space-group type: No. 225
DOS(E_F) in states/eV/cell: 2.6


Ranked by calculated energy, most stable first: *a*, *c*, *b*.


*a*
Here is crystalline LuThAl2 at its relaxed geometry from Alexandria via LeMat-Bulk. Energies are from PBE.

abc: 3.583 3.583 7.444
angles: 90.00 90.00 90.00
Sites, in units of the cell vectors:
Lu 0.000 0.000 0.000
Th 0.000 0.000 0.500
Al 0.500 0.500 0.228
Al 0.500 0.500 0.772

Results
Calculated volume in Å³/atom: 23.895
Magnetization in μB per formula unit: 0.0
Space-group type: No. 123
DOS(E_F) in states/eV/cell: 2.3


*b*
Here is crystalline LuThAl2 at its relaxed geometry from Alexandria via LeMat-Bulk. Energies are from PBE.

abc: 9.988 9.988 9.988
angles: 19.92 19.92 19.92
Sites, in units of the cell vectors:
Lu 0.000 0.000 0.000
Th 0.500 0.500 0.500
Al 0.254 0.254 0.254
Al 0.746 0.746 0.746

Results
Calculated volume in Å³/atom: 25.283
Magnetization in μB per formula unit: 0.0
Space-group type: No. 166
DOS(E_F) in states/eV/cell: 4.1


Ranked by calculated energy, most stable first: *a*, *b*.


*a*
Here is crystalline LuThAl2 at its relaxed geometry from Alexandria via LeMat-Bulk. Energies are from PBE.

abc: 5.143 5.143 5.143
angles: 60.00 60.00 60.00
Sites, in units of the cell vectors:
Lu 0.000 0.000 0.000
Th 0.500 0.500 0.500
Al 0.250 0.250 0.250
Al 0.750 0.750 0.750

Results
Calculated volume in Å³/atom: 24.054
Magnetization in μB per formula unit: 0.1
Space-group type: No. 225
DOS(E_F) in states/eV/cell: 3.8


*b*
Here is crystalline LuThAl2 at its relaxed geometry from Alexandria via LeMat-Bulk. Energies are from PBE.

abc: 4.804 4.804 4.209
angles: 90.00 90.00 90.00
Sites, in units of the cell vectors:
Lu 0.000 0.000 0.000
Th 0.500 0.500 0.000
Al 0.000 0.500 0.500
Al 0.500 0.000 0.500

Results
Calculated volume in Å³/atom: 24.290
Magnetization in μB per formula unit: 0.0
Space-group type: No. 123
DOS(E_F) in states/eV/cell: 3.4


Ranked by calculated energy, most stable first: *a*, *b*.


*a*
Here is crystalline LuTh2Al at its relaxed geometry from Alexandria via LeMat-Bulk. Energies are from PBE.

abc: 11.063 11.063 11.063
angles: 18.26 18.26 18.26
Sites, in units of the cell vectors:
Lu 0.000 0.000 0.000
Th 0.243 0.243 0.243
Th 0.757 0.757 0.757
Al 0.500 0.500 0.500

Results
Calculated volume in Å³/atom: 29.038
Magnetization in μB per formula unit: 0.0
Space-group type: No. 166
DOS(E_F) in states/eV/cell: 5.1


*b*
Here is crystalline LuTh2Al at its relaxed geometry from Alexandria via LeMat-Bulk. Energies are from PBE.

abc: 4.772 4.772 4.854
angles: 90.00 90.00 90.00
Sites, in units of the cell vectors:
Lu 0.000 0.000 0.000
Th 0.000 0.500 0.500
Th 0.500 0.000 0.500
Al 0.500 0.500 0.000

Results
Calculated volume in Å³/atom: 27.631
Magnetization in μB per formula unit: 0.0
Space-group type: No. 123
DOS(E_F) in states/eV/cell: 4.4


*c*
Here is crystalline LuTh2Al at its relaxed geometry from Alexandria via LeMat-Bulk. Energies are from PBE.

abc: 5.418 5.418 5.418
angles: 60.00 60.00 60.00
Sites, in units of the cell vectors:
Lu 0.000 0.000 0.000
Th 0.250 0.250 0.250
Th 0.750 0.750 0.750
Al 0.500 0.500 0.500

Results
Calculated volume in Å³/atom: 28.110
Magnetization in μB per formula unit: 0.0
Space-group type: No. 225
DOS(E_F) in states/eV/cell: 6.0


Ranked by calculated energy, most stable first: *b*, *c*, *a*.


*a*
Here is crystalline TmLuAl at its relaxed geometry from Alexandria via LeMat-Bulk. Energies are from PBE.

abc: 6.986 6.986 6.986
angles: 151.97 151.97 40.05
Sites, in units of the cell vectors:
Tm 0.000 0.000 0.000
Lu 0.699 0.699 0.000
Al 0.348 0.348 0.000

Results
Calculated volume in Å³/atom: 25.046
Magnetization in μB per formula unit: 0.0
Space-group type: No. 107
DOS(E_F) in states/eV/cell: 2.3


*b*
Here is crystalline TmLuAl at its relaxed geometry from Alexandria via LeMat-Bulk. Energies are from PBE.

abc: 4.995 4.995 3.472
angles: 90.00 90.00 120.00
Sites, in units of the cell vectors:
Tm 0.000 0.000 0.000
Lu 0.667 0.333 0.561
Al 0.333 0.667 0.296

Results
Calculated volume in Å³/atom: 25.010
Magnetization in μB per formula unit: 0.0
Space-group type: No. 156
DOS(E_F) in states/eV/cell: 2.3


Ranked by calculated energy, most stable first: *a*, *b*.


*a*
Here is crystalline Tm2LuAl at its relaxed geometry from Alexandria via LeMat-Bulk. Energies are from PBE.

abc: 3.453 3.453 8.880
angles: 90.00 90.00 90.00
Sites, in units of the cell vectors:
Tm 0.000 0.000 0.217
Tm 0.000 0.000 0.783
Lu 0.500 0.500 0.500
Al 0.500 0.500 0.000

Results
Calculated volume in Å³/atom: 26.468
Magnetization in μB per formula unit: 0.0
Space-group type: No. 123
DOS(E_F) in states/eV/cell: 3.9


*b*
Here is crystalline Tm2LuAl at its relaxed geometry from Alexandria via LeMat-Bulk. Energies are from PBE.

abc: 4.683 4.683 4.668
angles: 90.00 90.00 90.00
Sites, in units of the cell vectors:
Tm 0.000 0.500 0.000
Tm 0.500 0.000 0.000
Lu 0.000 0.000 0.500
Al 0.500 0.500 0.500

Results
Calculated volume in Å³/atom: 25.589
Magnetization in μB per formula unit: 0.0
Space-group type: No. 123
DOS(E_F) in states/eV/cell: 3.5


Ranked by calculated energy, most stable first: *b*, *a*.